Record 1
A relaxed Na2Ca3PaTe6 crystal. Source: Alexandria, functional PBE.

Unit cell a=7.857 b=7.857 c=7.786 alpha=99.73 beta=99.73 gamma=119.92
Fractional positions:
Na: 0.334 0.666 0.000
Na: 0.666 0.334 0.000
Ca: 0.169 0.831 0.500
Ca: 0.831 0.169 0.500
Ca: 0.500 0.500 0.500
Pa: 0.000 0.000 0.000
Te: 0.917 0.596 0.749
Te: 0.763 0.763 0.246
Te: 0.083 0.404 0.251
Te: 0.596 0.917 0.749
Te: 0.237 0.237 0.754
Te: 0.404 0.083 0.251

Output
**Final energy**: -4.37 eV/atom
**M_tot**: 1.01 μB/cell
**N(E_F)**: 0.13 states/eV/atom
**Formation energy from raw total energies**: -1.2839 eV per atom

---

Record 2
A relaxed NaCa2PaTe4 crystal. Source: Alexandria, functional PBE.

Unit cell a=4.414 b=7.859 c=7.779 alpha=108.41 beta=90.00 gamma=90.00
Fractional positions:
Na: 0.000 0.000 0.000
Ca: 0.500 0.000 0.500
Ca: 0.000 0.500 0.500
Pa: 0.500 0.500 0.000
Te: 0.500 0.257 0.249
Te: 0.500 0.743 0.751
Te: 0.000 0.253 0.752
Te: 0.000 0.747 0.248

Output
**Final energy**: -4.63 eV/atom
**M_tot**: 1.86 μB/cell
**N(E_F)**: 0.77 states/eV/atom
**Formation energy from raw total energies**: -1.2054 eV per atom

---

Record 3
A relaxed NaCa2Pb3 crystal. Source: Alexandria, functional PBE.

Unit cell a=5.001 b=9.229 c=9.229 alpha=109.28 beta=105.72 gamma=105.72
Fractional positions:
Na: 0.250 0.426 0.574
Na: 0.750 0.574 0.426
Ca: 0.250 0.086 0.914
Ca: 0.250 0.739 0.261
Ca: 0.750 0.914 0.086
Ca: 0.750 0.261 0.739
Pb: 0.504 0.837 0.670
Pb: 0.004 0.670 0.837
Pb: 0.500 0.500 0.000
Pb: 0.496 0.163 0.330
Pb: 0.000 0.000 0.500
Pb: 0.996 0.330 0.163

Output
**Final energy**: -3.14 eV/atom
**M_tot**: 0.00 μB/cell
**N(E_F)**: 0.51 states/eV/atom
**Calculated formation energy**: -0.40 eV per atom

---

Record 4
A relaxed NaCa2Pb crystal. Source: Alexandria, functional PBE.

Unit cell a=8.990 b=8.990 c=7.297 alpha=51.98 beta=51.98 gamma=90.00
Fractional positions:
Pb: 0.000 0.000 0.000
Pb: 0.750 0.250 0.500
Na: 0.500 0.500 0.000
Na: 0.250 0.750 0.500
Ca: 0.652 0.125 0.250
Ca: 0.098 0.625 0.250
Ca: 0.375 0.348 0.750
Ca: 0.875 0.902 0.750

Output
**Final energy**: -2.32 eV/atom
**M_tot**: 0.00 μB/cell
**N(E_F)**: 0.91 states/eV/atom
**Calculated formation energy**: -0.06 eV per atom

---

Record 5
A relaxed NaCaPb6 crystal. Source: Alexandria, functional PBE.

Unit cell a=4.944 b=4.944 c=9.887 alpha=90.00 beta=90.00 gamma=90.00
Fractional positions:
Na: 0.000 0.000 0.500
Ca: 0.000 0.000 0.000
Pb: 0.500 0.500 0.000
Pb: 0.500 0.500 0.500
Pb: 0.500 0.000 0.253
Pb: 0.500 0.000 0.747
Pb: 0.000 0.500 0.253
Pb: 0.000 0.500 0.747

Output
**Final energy**: -3.41 eV/atom
**M_tot**: 0.00 μB/cell
**N(E_F)**: 0.43 states/eV/atom
**Calculated formation energy**: -0.21 eV per atom

---

Record 6
A relaxed Na2CaPb9 crystal. Source: Alexandria, functional PBE.

Unit cell a=4.943 b=4.943 c=14.810 alpha=90.00 beta=90.00 gamma=90.00
Fractional positions:
Na: 0.000 0.000 0.332
Na: 0.000 0.000 0.668
Ca: 0.000 0.000 0.000
Pb: 0.500 0.500 0.000
Pb: 0.500 0.500 0.335
Pb: 0.500 0.500 0.665
Pb: 0.500 0.000 0.168
Pb: 0.500 0.000 0.500
Pb: 0.500 0.000 0.832
Pb: 0.000 0.500 0.168
Pb: 0.000 0.500 0.500
Pb: 0.000 0.500 0.832

Output
**Final energy**: -3.35 eV/atom
**M_tot**: 0.00 μB/cell
**N(E_F)**: 0.47 states/eV/atom
**Calculated formation energy**: -0.18 eV per atom

---

Record 7
A relaxed Na2Ca2Pb crystal. Source: Alexandria, functional PBE.

Unit cell a=4.197 b=4.197 c=10.459 alpha=78.43 beta=78.43 gamma=90.00
Fractional positions:
Pb: 0.000 0.000 0.000
Na: 0.750 0.250 0.500
Na: 0.250 0.750 0.500
Ca: 0.412 0.412 0.176
Ca: 0.588 0.588 0.824

Output
**Final energy**: -2.13 eV/atom
**M_tot**: 0.00 μB/cell
**N(E_F)**: 0.58 states/eV/atom
**Calculated formation energy**: -0.06 eV per atom

---

Record 8
A relaxed Na2Ca2Pb crystal. Source: Alexandria, functional PBE.

Unit cell a=8.245 b=8.245 c=5.889 alpha=90.00 beta=90.00 gamma=90.00
Fractional positions:
Pb: 0.000 0.000 0.000
Pb: 0.500 0.500 0.000
Na: 0.159 0.659 0.500
Na: 0.659 0.841 0.500
Na: 0.841 0.341 0.500
Na: 0.341 0.159 0.500
Ca: 0.341 0.841 0.000
Ca: 0.841 0.659 0.000
Ca: 0.659 0.159 0.000
Ca: 0.159 0.341 0.000

Output
**Final energy**: -2.09 eV/atom
**M_tot**: 0.00 μB/cell
**N(E_F)**: 0.20 states/eV/atom
**Calculated formation energy**: -0.02 eV per atom

---

Record 9
A relaxed Na2Ca2Pb3 crystal. Source: Alexandria, functional PBE.

Unit cell a=5.459 b=5.462 c=9.404 alpha=90.01 beta=106.88 gamma=119.97
Fractional positions:
Na: 0.264 0.132 0.395
Na: 0.736 0.868 0.605
Ca: 0.763 0.382 0.145
Ca: 0.237 0.618 0.855
Pb: 0.000 0.000 0.000
Pb: 0.509 0.254 0.764
Pb: 0.491 0.746 0.236

Output
**Final energy**: -2.86 eV/atom
**M_tot**: 0.00 μB/cell
**N(E_F)**: 0.50 states/eV/atom
**Calculated formation energy**: -0.32 eV per atom

---

Record 10
A relaxed Na4CaPb crystal. Source: Alexandria, functional PBE.

Unit cell a=6.449 b=6.449 c=6.449 alpha=60.00 beta=60.00 gamma=60.00
Fractional positions:
Pb: 0.000 0.000 0.000
Na: 0.625 0.625 0.124
Na: 0.625 0.124 0.625
Na: 0.625 0.625 0.625
Na: 0.124 0.625 0.625
Ca: 0.250 0.250 0.250

Output
**Final energy**: -1.85 eV/atom
**M_tot**: 0.00 μB/cell
**N(E_F)**: 0.34 states/eV/atom
**Calculated formation energy**: -0.02 eV per atom

---

Record 11
A relaxed NaCa2Pb crystal. Source: Alexandria, functional PBE.

Unit cell a=5.506 b=7.040 c=7.040 alpha=68.55 beta=90.00 gamma=90.00
Fractional positions:
Na: 0.750 0.866 0.366
Na: 0.250 0.134 0.634
Ca: 0.250 0.156 0.113
Ca: 0.750 0.844 0.887
Ca: 0.250 0.613 0.656
Ca: 0.750 0.387 0.344
Pb: 0.750 0.342 0.842
Pb: 0.250 0.658 0.158

Output
**Final energy**: -2.59 eV/atom
**M_tot**: 0.00 μB/cell
**N(E_F)**: 0.55 states/eV/atom
**Calculated formation energy**: -0.34 eV per atom

---

Record 12
A relaxed NaCa2Pb crystal. Source: Alexandria, functional PBE.

Unit cell a=5.299 b=5.299 c=7.149 alpha=68.24 beta=68.24 gamma=60.00
Fractional positions:
Na: 0.495 0.495 0.516
Ca: 0.057 0.057 0.830
Ca: 0.277 0.277 0.170
Pb: 0.672 0.672 0.984

Output
**Final energy**: -2.44 eV/atom
**M_tot**: 0.49 μB/cell
**N(E_F)**: 0.59 states/eV/atom
**Calculated formation energy**: -0.18 eV per atom